This record from Alexandria describes a geometry-optimized SrBeIN2 structure. The functional is PBE.

distance to the lowest polymorph of the same formula = 0 meV/atom
uncorrected energy = -3.9788 eV/atom
uncorrected formation energy = 3.7 eV/f.u.

abc: 4.257 4.257 5.002
angles: 90.00 90.00 90.00
Space group P4/mmm (No. 123)
Unique sites:
Sr: 0.000 0.000 0.000 (multiplicity 1)
Be: 0.500 0.500 0.500 (multiplicity 1)
I: 0.500 0.500 0.000 (multiplicity 1)
N: 0.000 0.500 0.500 (multiplicity 2)